[1]
# SCAN Y3Ho, PBEsol geometry
data_Y3Ho
_chemical_formula_sum 'Y6 Ho2'
_symmetry_space_group_name_H-M 'P 63/m m c'
_symmetry_Int_Tables_number 194
_symmetry_space_group_name_Hall '-P 6c 2c'
_cell_length_a 7.1386
_cell_length_b 7.1386
_cell_length_c 5.5539
_cell_angle_alpha 90.00
_cell_angle_beta 90.00
_cell_angle_gamma 120.00
loop_
_atom_site_label
_atom_site_type_symbol
_atom_site_fract_x
_atom_site_fract_y
_atom_site_fract_z
Y1 Y 0.1673 0.3346 0.2500
Ho1 Ho 0.3333 0.6667 0.7500
# ΔE_f = 0.008 eV per atom
# Total moment = 3.20 μB/cell
# Crystal system = hexagonal

***

[2]
# SCAN SmCoGe2, PBEsol geometry
data_SmCoGe2
_chemical_formula_sum 'Sm4 Co4 Ge8'
_symmetry_space_group_name_H-M 'C m c m'
_symmetry_Int_Tables_number 63
_symmetry_space_group_name_Hall '-C 2c 2'
_cell_length_a 4.147
_cell_length_b 16.410
_cell_length_c 4.137
_cell_angle_alpha 90.00
_cell_angle_beta 90.00
_cell_angle_gamma 90.00
loop_
_atom_site_label
_atom_site_type_symbol
_atom_site_fract_x
_atom_site_fract_y
_atom_site_fract_z
Sm1 Sm 0.000 0.109 0.250
Co1 Co 0.000 0.318 0.250
Ge1 Ge 0.000 0.250 0.750
Ge2 Ge 0.000 0.455 0.250
# ΔE_f = -0.702 eV per atom
# Total moment = 0.00 μB/cell
# Crystal system = orthorhombic

***

[3]
# SCAN CoTcPO2, PBEsol geometry
data_CoTcPO2
_chemical_formula_sum 'Co1 Tc1 P1 O2'
_symmetry_space_group_name_H-M 'P 4/m m m'
_symmetry_Int_Tables_number 123
_symmetry_space_group_name_Hall '-P 4 2'
_cell_length_a 3.529
_cell_length_b 3.529
_cell_length_c 4.731
_cell_angle_alpha 90.00
_cell_angle_beta 90.00
_cell_angle_gamma 90.00
loop_
_atom_site_label
_atom_site_type_symbol
_atom_site_fract_x
_atom_site_fract_y
_atom_site_fract_z
Co1 Co 0.000 0.000 0.000
Tc1 Tc 0.500 0.500 0.500
P1 P 0.000 0.000 0.500
O1 O 0.000 0.500 0.000
# Total moment = 5.37 μB/cell
# Crystal system = tetragonal
# Energy relative to the elements, uncorrected = -0.03 eV/atom

***

[4]
# SCAN CoHgSb2Te, PBEsol geometry
data_CoHgSb2Te
_chemical_formula_sum 'Co1 Hg1 Sb2 Te1'
_symmetry_space_group_name_H-M 'P 4/m m m'
_symmetry_Int_Tables_number 123
_symmetry_space_group_name_Hall '-P 4 2'
_cell_length_a 5.390
_cell_length_b 5.390
_cell_length_c 5.536
_cell_angle_alpha 90.00
_cell_angle_beta 90.00
_cell_angle_gamma 90.00
loop_
_atom_site_label
_atom_site_type_symbol
_atom_site_fract_x
_atom_site_fract_y
_atom_site_fract_z
Co1 Co 0.000 0.000 0.000
Hg1 Hg 0.500 0.500 0.500
Sb1 Sb 0.000 0.500 0.500
Te1 Te 0.500 0.500 0.000
# Total moment = 2.45 μB/cell
# Crystal system = tetragonal
# Energy relative to the elements, uncorrected = 1.25 eV/atom

***

Total DFT energy (no corrections) values (in eV/atom) by entry order: -33.122 -25.682 -15.072 -38.194.